Entry 1:
Here is a geometry-optimized Dy7ZnI12 structure from Alexandria via LeMat-Bulk. Energies are from PBE.

Space-group type: No. 148
E_tot (eV/atom): -3.75
N(E_F) (states/eV per atom): 0.577
Total moment (Bohr magnetons per cell): 0.0

```
Dy7ZnI12
1.0
-3.254 8.280 3.867
-4.305 -7.342 4.655
9.525 -0.552 1.754
Dy Zn I
7 1 12
direct
0.964 0.687 0.894
0.313 0.106 0.036
0.106 0.036 0.313
0.500 0.500 0.500
0.894 0.964 0.687
0.687 0.894 0.964
0.036 0.313 0.106
0.000 0.000 0.000
0.923 0.316 0.772
0.684 0.228 0.077
0.472 0.156 0.392
0.844 0.608 0.528
0.228 0.077 0.684
0.608 0.528 0.844
0.392 0.472 0.156
0.772 0.923 0.316
0.156 0.392 0.472
0.528 0.844 0.608
0.316 0.772 0.923
0.077 0.684 0.228
```

***

Entry 2:
Here is a geometry-optimized Dy2ZnI structure from Alexandria via LeMat-Bulk. Energies are from PBE.

Space-group type: No. 123
N(E_F) (states/eV per atom): 0.869
Energy above the lowest structure with this stoichiometry (eV per formula unit): 0.33
Total moment (Bohr magnetons per cell): 0.0

```
Dy2ZnI
1.0
-2.643 -0.163 2.458
-1.552 -2.690 -1.846
4.298 -5.406 4.264
I Zn Dy
1 1 2
direct
0.500 0.500 0.500
0.500 0.500 0.000
0.000 0.000 0.788
0.000 0.000 0.212
```

***

Entry 3:
Here is a geometry-optimized Dy2ZnI structure from Alexandria via LeMat-Bulk. Energies are from PBE.

Space-group type: No. 160
N(E_F) (states/eV per atom): 0.730
Energy above the lowest structure with this stoichiometry (eV per formula unit): 0.00
Total moment (Bohr magnetons per cell): 0.0

```
Dy2ZnI
1.0
3.926 0.000 0.000
1.963 3.400 0.000
1.963 1.133 8.246
Dy Zn I
2 1 1
direct
0.073 0.073 0.780
0.260 0.260 0.220
0.667 0.667 0.998
0.500 0.500 0.501
```

***

Entry 4:
Here is a geometry-optimized Dy4ZnI5 structure from Alexandria via LeMat-Bulk. Energies are from PBE.

Space-group type: No. 12
E_tot (eV/atom): -3.73
N(E_F) (states/eV per atom): 0.353
Total moment (Bohr magnetons per cell): 0.0

```
Dy4ZnI5
1.0
4.109 0.000 0.000
0.000 8.919 -0.389
-2.055 -1.661 9.433
Dy Zn I
4 1 5
direct
0.353 0.925 0.706
0.000 0.783 0.000
0.647 0.075 0.294
0.000 0.217 0.000
0.500 0.000 0.000
0.833 0.659 0.666
0.825 0.172 0.651
0.175 0.828 0.349
0.500 0.500 0.000
0.167 0.341 0.334
```

***

Entry 5:
Here is a geometry-optimized DyZrI structure from Alexandria via LeMat-Bulk. Energies are from PBE.

Space-group type: No. 12
E_tot (eV/atom): -5.28
N(E_F) (states/eV per atom): 0.599
Total moment (Bohr magnetons per cell): 0.0

```
DyZrI
1.0
5.125 0.768 0.723
3.226 4.056 0.723
3.152 1.821 11.759
Zr Dy I
2 2 2
direct
0.256 0.256 0.120
0.497 0.497 0.188
0.690 0.690 0.354
0.063 0.063 0.953
0.323 0.323 0.494
0.430 0.430 0.814
```

***

Entry 6:
Here is a geometry-optimized Dy5In structure from Alexandria via LeMat-Bulk. Energies are from PBE.

Space-group type: No. 65
N(E_F) (states/eV per atom): 1.415
Energy above the lowest structure with this stoichiometry (eV per formula unit): 0.54
Formation energy from the elements (meV/atom): -70
Total moment (Bohr magnetons per cell): 0.0

```
Dy5In
1.0
5.634 0.000 0.000
0.000 5.580 0.000
0.000 -2.790 5.633
Dy In
5 1
direct
0.500 0.660 0.320
0.000 0.840 0.679
0.500 0.000 0.000
0.000 0.160 0.321
0.500 0.340 0.680
0.000 0.500 0.000
```